1.
CsNaTa2Be (PBE, relaxed); VASP energy = -16.58 eV for the cell shown; energy of formation = 2604 meV per atom; volume = 24.68 Å³/atom; DOS at the Fermi energy = 4.63 states/eV/cell
1.0
5.0913 0.0000 0.0000
0.0000 5.0913 0.0000
0.0000 0.0000 4.7597
Cs Na Ta Be
1 1 2 1
Cartesian
0.0000 0.0000 0.0000
2.5457 2.5457 2.3798
0.0000 2.5457 2.3798
2.5457 0.0000 2.3798
2.5457 2.5457 0.0000

---

2.
Rb2Bi3Pb6 (PBE, relaxed); VASP energy = -37.05 eV for the cell shown; energy of formation = -111 meV per atom; volume = 38.99 Å³/atom; DOS at the Fermi energy = 2.86 states/eV/cell
1.0
9.7931 0.0000 0.0000
-4.8966 8.4811 0.0000
0.0000 0.0000 5.1632
Rb Bi Pb
2 3 6
Cartesian
0.0000 5.6541 0.0000
4.8966 2.8270 0.0000
-2.9341 5.0820 2.5816
1.9625 3.3991 2.5816
5.8681 0.0000 2.5816
-1.3265 2.2976 2.5816
-3.9169 6.7843 0.0000
0.9796 1.6968 0.0000
2.6531 0.0000 2.5816
3.5700 6.1835 2.5816
7.8339 0.0000 0.0000

---

3.
LiTb3Sm3Se8 (PBE, relaxed); formation energy (no corrections) = -1.809 eV/atom; VASP energy = -84.97 eV for the cell shown; volume = 26.13 Å³/atom; DOS at the Fermi energy = 4.45 states/eV/cell
1.0
4.1021 2.3684 6.7242
-4.1021 2.3684 6.7242
0.0000 -4.7367 6.7242
Li Tb Sm Se
1 3 3 8
Cartesian
0.0000 0.0000 0.0000
-2.0511 -1.1842 6.7242
-2.0511 1.1842 13.4483
0.0000 2.3684 6.7242
-4.1021 0.0000 10.0862
-2.0511 1.1842 3.3621
2.0511 1.1842 3.3621
0.0000 -2.3870 8.3509
-2.0672 1.1935 8.3509
-2.0672 -1.1935 11.8216
0.0000 0.0000 5.0829
0.0000 0.0000 15.0896
2.0672 1.1935 8.3509
2.0672 -1.1935 11.8216
0.0000 2.3870 11.8216